Record 1
Below is crystalline Li2Ag2Hg7 at its relaxed geometry, with properties calculated at the PBE level.

Values from the calculation:
Fermi-level density of states = 7.5 states/eV per cell
Calculated formation energy = -0.093 eV per atom
Theoretical density = 11.46 g/cm³
Energy relative to the lowest polymorph listed for this composition = 0.000 eV per atom

Structure (CIF):
```
data_Li2Ag2Hg7
_chemical_formula_sum 'Li4 Ag4 Hg14'
_cell_length_a 7.6726
_cell_length_b 8.2945
_cell_length_c 7.5938
_cell_angle_alpha 90.00
_cell_angle_beta 101.64
_cell_angle_gamma 90.00
_symmetry_space_group_name_H-M 'C 1 2/m 1'
_symmetry_Int_Tables_number 12
loop_
_symmetry_equiv_pos_as_xyz
'x,y,z'
'-x,-y,-z'
'-x,y,-z'
'x,-y,z'
'x+1/2,y+1/2,z'
'-x+1/2,-y+1/2,-z'
'-x+1/2,y+1/2,-z'
'x+1/2,-y+1/2,z'
loop_
_atom_site_label
_atom_site_type_symbol
_atom_site_fract_x
_atom_site_fract_y
_atom_site_fract_z
_atom_site_occupancy
Li1 Li 0.1176 0.0000 0.3499 1
Ag1 Ag 0.0000 0.1813 0.0000 1
Hg1 Hg 0.0000 0.5000 0.5000 1
Hg2 Hg 0.1646 0.5000 0.9270 1
Hg3 Hg 0.2053 0.1888 0.6897 1
```

---

Record 2
Below is crystalline Li15AgHg4 at its relaxed geometry, with properties calculated at the PBE level.

Values from the calculation:
Fermi-level density of states = 8.1 states/eV per cell
Calculated formation energy = -0.238 eV per atom
Theoretical density = 4.80 g/cm³

Structure (CIF):
```
data_Li15AgHg4
_chemical_formula_sum 'Li15 Ag1 Hg4'
_cell_length_a 4.2360
_cell_length_b 4.2360
_cell_length_c 19.5656
_cell_angle_alpha 90.00
_cell_angle_beta 90.00
_cell_angle_gamma 90.00
_symmetry_space_group_name_H-M 'P 4/m m m'
_symmetry_Int_Tables_number 123
_symmetry_space_group_name_Hall '-P 4 2'
loop_
_atom_site_label
_atom_site_type_symbol
_atom_site_fract_x
_atom_site_fract_y
_atom_site_fract_z
_atom_site_occupancy
Li1 Li 0.0000 0.0000 0.0000 1
Li2 Li 0.0000 0.0000 0.1992 1
Li3 Li 0.0000 0.0000 0.3989 1
Li4 Li 0.0000 0.5000 0.0984 1
Li5 Li 0.0000 0.5000 0.2992 1
Li6 Li 0.0000 0.5000 0.5000 1
Ag1 Ag 0.5000 0.5000 0.0000 1
Hg1 Hg 0.5000 0.5000 0.1980 1
Hg2 Hg 0.5000 0.5000 0.3991 1
```

---

Record 3
Below is crystalline Li15Ag4Hg at its relaxed geometry, with properties calculated at the PBE level.

Values from the calculation:
Fermi-level density of states = 9.9 states/eV per cell
Calculated formation energy = -0.155 eV per atom
Theoretical density = 3.58 g/cm³

Structure (CIF):
```
data_Li15Ag4Hg
_chemical_formula_sum 'Li15 Ag4 Hg1'
_cell_length_a 4.1298
_cell_length_b 4.1298
_cell_length_c 19.9940
_cell_angle_alpha 90.00
_cell_angle_beta 90.00
_cell_angle_gamma 90.00
_symmetry_space_group_name_H-M 'P 4/m m m'
_symmetry_Int_Tables_number 123
_symmetry_space_group_name_Hall '-P 4 2'
loop_
_atom_site_label
_atom_site_type_symbol
_atom_site_fract_x
_atom_site_fract_y
_atom_site_fract_z
_atom_site_occupancy
Li1 Li 0.0000 0.0000 0.0000 1
Li2 Li 0.0000 0.0000 0.2037 1
Li3 Li 0.0000 0.0000 0.4013 1
Li4 Li 0.0000 0.5000 0.1033 1
Li5 Li 0.0000 0.5000 0.3020 1
Li6 Li 0.0000 0.5000 0.5000 1
Ag1 Ag 0.5000 0.5000 0.2037 1
Ag2 Ag 0.5000 0.5000 0.4013 1
Hg1 Hg 0.5000 0.5000 0.0000 1
```

---

Record 4
Below is crystalline Li4AgHg2 at its relaxed geometry, with properties calculated at the PBE level.

Values from the calculation:
Fermi-level density of states = 9.8 states/eV per cell
Calculated formation energy = -0.262 eV per atom
Theoretical density = 6.90 g/cm³
Energy relative to the lowest polymorph listed for this composition = 0.000 eV per atom

Structure (CIF):
```
data_Li4AgHg2
_chemical_formula_sum 'Li12 Ag3 Hg6'
_cell_length_a 4.6683
_cell_length_b 4.6683
_cell_length_c 20.5339
_cell_angle_alpha 90.00
_cell_angle_beta 90.00
_cell_angle_gamma 120.00
_symmetry_space_group_name_H-M 'R -3 m'
_symmetry_Int_Tables_number 166
_symmetry_space_group_name_Hall '-R 3 2"'
loop_
_atom_site_label
_atom_site_type_symbol
_atom_site_fract_x
_atom_site_fract_y
_atom_site_fract_z
_atom_site_occupancy
Li1 Li 0.0000 0.0000 0.0932 1
Li2 Li 0.0000 0.0000 0.3666 1
Ag1 Ag 0.0000 0.0000 0.5000 1
Hg1 Hg 0.0000 0.0000 0.2339 1
```

---

Record 5
Below is crystalline Li2Ag4Hg at its relaxed geometry, with properties calculated at the PBE level.

Values from the calculation:
Fermi-level density of states = 5.9 states/eV per cell
Calculated formation energy = 0.005 eV per atom
Theoretical density = 8.40 g/cm³
Energy relative to the lowest polymorph listed for this composition = 0.057 eV per atom

Structure (CIF):
```
data_Li2Ag4Hg
_chemical_formula_sum 'Li4 Ag8 Hg2'
_cell_length_a 6.9187
_cell_length_b 6.9187
_cell_length_c 5.3356
_cell_angle_alpha 90.00
_cell_angle_beta 90.00
_cell_angle_gamma 90.00
_symmetry_space_group_name_H-M 'I 4/m m m'
_symmetry_Int_Tables_number 139
_symmetry_space_group_name_Hall '-I 4 2'
loop_
_atom_site_label
_atom_site_type_symbol
_atom_site_fract_x
_atom_site_fract_y
_atom_site_fract_z
_atom_site_occupancy
Li1 Li 0.0000 0.5000 0.2500 1
Ag1 Ag 0.2047 0.2047 0.0000 1
Hg1 Hg 0.0000 0.0000 0.5000 1
```

---

Record 6
Below is crystalline Li7Ag3Hg2 at its relaxed geometry, with properties calculated at the PBE level.

Values from the calculation:
Fermi-level density of states = 10.3 states/eV per cell
Calculated formation energy = -0.133 eV per atom
Theoretical density = 5.74 g/cm³
Energy relative to the lowest polymorph listed for this composition = 0.017 eV per atom

Structure (CIF):
```
data_Li7Ag3Hg2
_chemical_formula_sum 'Li14 Ag6 Hg4'
_cell_length_a 4.4889
_cell_length_b 23.6038
_cell_length_c 4.2220
_cell_angle_alpha 90.00
_cell_angle_beta 90.00
_cell_angle_gamma 90.00
_symmetry_space_group_name_H-M 'C m m m'
_symmetry_Int_Tables_number 65
_symmetry_space_group_name_Hall '-C 2 2'
loop_
_atom_site_label
_atom_site_type_symbol
_atom_site_fract_x
_atom_site_fract_y
_atom_site_fract_z
_atom_site_occupancy
Li1 Li 0.0000 0.0000 0.0000 1
Li2 Li 0.0000 0.0785 0.5000 1
Li3 Li 0.0000 0.2787 0.0000 1
Li4 Li 0.0000 0.4222 0.0000 1
Ag1 Ag 0.0000 0.3503 0.5000 1
Ag2 Ag 0.0000 0.5000 0.5000 1
Hg1 Hg 0.0000 0.1541 0.0000 1
```